Entry 1:
Density functional theory data (PBE) for Th2Co3NiGe4 after structural relaxation.

Output
* final energy: -66.75 eV/f.u.
* space-group type: P-4m2 (115)

a b c (Å): 4.153 4.153 9.701
angles (deg): 90.00 90.00 90.00
Element x y z (fractional)
Th: 0.500 0.000 0.250
Th: 0.000 0.500 0.750
Co: 0.000 0.000 0.500
Co: 0.500 0.000 0.875
Co: 0.000 0.500 0.125
Ni: 0.500 0.500 0.500
Ge: 0.500 0.500 0.000
Ge: 0.000 0.000 0.000
Ge: 0.500 0.000 0.631
Ge: 0.000 0.500 0.369



Entry 2:
Density functional theory data (PBE) for TiCoNiGe after structural relaxation.

Output
* final energy: -27.31 eV/f.u.
* energy relative to the lowest polymorph listed for this composition: 0.0 meV/atom
* space-group type: I-4m2 (119)

a b c (Å): 3.890 3.890 4.323
angles (deg): 116.74 116.74 90.00
Element x y z (fractional)
Ti: 0.250 0.750 0.500
Co: 0.000 0.000 0.000
Ni: 0.500 0.500 0.000
Ge: 0.750 0.250 0.500



Entry 3:
Density functional theory data (PBE) for TiCoNiGe after structural relaxation.

Output
* final energy: -27.26 eV/f.u.
* energy relative to the lowest polymorph listed for this composition: 11.8 meV/atom
* space-group type: F-43m (216)

a b c (Å): 4.140 4.140 4.140
angles (deg): 60.00 60.00 60.00
Element x y z (fractional)
Ni: 0.500 0.500 0.500
Ge: 0.250 0.250 0.250
Co: 0.000 0.000 0.000
Ti: 0.750 0.750 0.750



Entry 4:
Density functional theory data (PBE) for TmCoNiGe2 after structural relaxation.

Output
* final energy: -29.69 eV/f.u.
* space-group type: I-4m2 (119)

a b c (Å): 3.986 3.986 5.729
angles (deg): 110.36 110.36 90.00
Element x y z (fractional)
Tm: 0.000 0.000 0.000
Co: 0.750 0.250 0.500
Ni: 0.250 0.750 0.500
Ge: 0.626 0.626 0.252
Ge: 0.374 0.374 0.748



Entry 5:
Density functional theory data (PBE) for Tm2CoNi4Ge3 after structural relaxation.

Output
* final energy: -58.67 eV/f.u.
* space-group type: P-4m2 (115)

a b c (Å): 3.951 3.951 9.887
angles (deg): 90.00 90.00 90.00
Element x y z (fractional)
Tm: 0.500 0.000 0.254
Tm: 0.000 0.500 0.746
Co: 0.500 0.500 0.500
Ni: 0.500 0.500 0.000
Ni: 0.000 0.000 0.000
Ni: 0.500 0.000 0.632
Ni: 0.000 0.500 0.368
Ge: 0.000 0.000 0.500
Ge: 0.500 0.000 0.867
Ge: 0.000 0.500 0.133



Entry 6:
Density functional theory data (PBE) for TmCoNi2Ge2 after structural relaxation.

Output
* final energy: -33.23 eV/f.u.
* space-group type: P4/mmm (123)

a b c (Å): 4.409 4.409 5.082
angles (deg): 90.00 90.00 90.00
Element x y z (fractional)
Tm: 0.000 0.000 0.500
Co: 0.000 0.000 0.000
Ni: 0.500 0.500 0.741
Ni: 0.500 0.500 0.259
Ge: 0.500 0.000 0.000
Ge: 0.000 0.500 0.000



Entry 7:
Density functional theory data (PBE) for TmCoNiGe3 after structural relaxation.

Output
* final energy: -32.68 eV/f.u.
* space-group type: Cmcm (63)

a b c (Å): 5.633 5.603 7.681
angles (deg): 111.39 90.00 90.00
Element x y z (fractional)
Tm: 0.750 0.175 0.350
Tm: 0.250 0.825 0.650
Co: 0.250 0.413 0.827
Co: 0.750 0.587 0.173
Ni: 0.250 0.098 0.196
Ni: 0.750 0.902 0.804
Ge: 0.250 0.256 0.512
Ge: 0.000 0.246 0.000
Ge: 0.500 0.754 0.000
Ge: 0.500 0.246 0.000
Ge: 0.000 0.754 0.000
Ge: 0.750 0.744 0.488



Entry 8:
Density functional theory data (PBE) for UCoNiGe2 after structural relaxation.

Output
* final energy: -33.57 eV/f.u.
* energy relative to the lowest polymorph listed for this composition: 350.4 meV/atom
* space-group type: P4/nmm (129)

a b c (Å): 4.189 4.189 10.591
angles (deg): 90.00 90.00 90.00
Element x y z (fractional)
U: 0.000 0.500 0.821
U: 0.500 0.000 0.179
Co: 0.500 0.500 0.000
Co: 0.000 0.000 0.000
Ni: 0.000 0.500 0.601
Ni: 0.500 0.000 0.399
Ge: 0.500 0.500 0.500
Ge: 0.000 0.000 0.500
Ge: 0.000 0.500 0.129
Ge: 0.500 0.000 0.871